1.
DFT (PBE-GGA) results for a relaxed Sr3LiTb2Te6 crystal.

Properties
- uncorrected energy (eV/atom) = -4.423
- V (Å³ per cell) = 398.9
- formation energy (no corrections) (meV/atom) = -1500

Cell: 7.852 7.852 7.915 Å, 99.53 99.53 119.97°
Atoms (fractional coordinates):
Sr: 0.167 0.833 0.500
Sr: 0.833 0.167 0.500
Sr: 0.500 0.500 0.500
Li: 0.000 0.000 0.000
Tb: 0.333 0.667 0.000
Tb: 0.667 0.333 0.000
Te: 0.924 0.592 0.772
Te: 0.744 0.744 0.228
Te: 0.076 0.408 0.228
Te: 0.592 0.924 0.772
Te: 0.256 0.256 0.772
Te: 0.408 0.076 0.228


2.
DFT (PBE-GGA) results for a relaxed Sr2LiTbTe4 crystal.

Properties
- uncorrected energy (eV/atom) = -4.287
- V (Å³ per cell) = 267.7
- formation energy (no corrections) (meV/atom) = -1478

Cell: 4.568 7.871 7.869 Å, 108.90 90.00 90.00°
Atoms (fractional coordinates):
Sr: 0.500 0.000 0.500
Sr: 0.000 0.500 0.500
Li: 0.500 0.500 0.000
Tb: 0.000 0.000 0.000
Te: 0.500 0.244 0.226
Te: 0.500 0.756 0.774
Te: 0.000 0.254 0.772
Te: 0.000 0.746 0.228


3.
DFT (PBE-GGA) results for a relaxed SrLiTbTl crystal.

Properties
- uncorrected energy (eV/atom) = -2.802
- V (Å³ per cell) = 119.5

Cell: 5.529 5.529 5.529 Å, 60.00 60.00 60.00°
Atoms (fractional coordinates):
Sr: 0.250 0.250 0.250
Tl: 0.000 0.000 0.000
Tb: 0.750 0.750 0.750
Li: 0.500 0.500 0.500


4.
DFT (PBE-GGA) results for a relaxed SrLi2TbTl4 crystal.

Properties
- uncorrected energy (eV/atom) = -2.755
- V (Å³ per cell) = 211.6

Cell: 5.298 5.298 9.229 Å, 73.32 73.32 60.00°
Atoms (fractional coordinates):
Sr: 0.000 0.000 0.000
Li: 0.752 0.752 0.745
Li: 0.248 0.248 0.255
Tb: 0.500 0.500 0.500
Tl: 0.379 0.379 0.864
Tl: 0.872 0.872 0.384
Tl: 0.128 0.128 0.616
Tl: 0.621 0.621 0.136


5.
DFT (PBE-GGA) results for a relaxed Sr2LiTc crystal.

Properties
- uncorrected energy (eV/atom) = -3.149
- V (Å³ per cell) = 113.7

Cell: 6.139 6.139 6.139 Å, 135.08 135.08 65.41°
Atoms (fractional coordinates):
Li: 0.750 0.250 0.500
Sr: 0.000 0.000 0.000
Sr: 0.250 0.750 0.500
Tc: 0.500 0.500 0.000


6.
DFT (PBE-GGA) results for a relaxed SrLi2Tc crystal.

Properties
- uncorrected energy (eV/atom) = -3.384
- V (Å³ per cell) = 90.7
- E above lowest polymorph (eV per atom) = 0.010

Cell: 3.413 3.413 7.782 Å, 90.00 90.00 90.00°
Atoms (fractional coordinates):
Li: 0.000 0.000 0.977
Li: 0.500 0.500 0.166
Sr: 0.000 0.000 0.545
Tc: 0.500 0.500 0.812


7.
DFT (PBE-GGA) results for a relaxed SrLi2Tc crystal.

Properties
- uncorrected energy (eV/atom) = -3.235
- V (Å³ per cell) = 92.5
- E above lowest polymorph (eV per atom) = 0.159

Cell: 5.076 5.076 5.076 Å, 60.00 60.00 60.00°
Atoms (fractional coordinates):
Li: 0.000 0.000 0.000
Li: 0.250 0.250 0.250
Sr: 0.500 0.500 0.500
Tc: 0.750 0.750 0.750


8.
DFT (PBE-GGA) results for a relaxed Sr2LiTc crystal.

Properties
- uncorrected energy (eV/atom) = -3.158
- V (Å³ per cell) = 123.4

Cell: 10.898 10.898 10.898 Å, 19.29 19.29 19.29°
Atoms (fractional coordinates):
Li: 0.750 0.750 0.750
Sr: 0.986 0.986 0.986
Sr: 0.514 0.514 0.514
Tc: 0.250 0.250 0.250


9.
DFT (PBE-GGA) results for a relaxed Sr2LiTc crystal.

Properties
- uncorrected energy (eV/atom) = -3.017
- V (Å³ per cell) = 245.4

Cell: 8.431 8.431 6.889 Å, 52.27 52.27 90.00°
Atoms (fractional coordinates):
Sr: 0.639 0.125 0.250
Sr: 0.111 0.625 0.250
Sr: 0.375 0.361 0.750
Sr: 0.875 0.889 0.750
Tc: 0.000 0.000 0.000
Tc: 0.750 0.250 0.500
Li: 0.500 0.500 0.000
Li: 0.250 0.750 0.500


10.
DFT (PBE-GGA) results for a relaxed SrLi2Tc crystal.

Properties
- uncorrected energy (eV/atom) = -3.309
- V (Å³ per cell) = 85.6
- E above lowest polymorph (eV per atom) = 0.085

Cell: 3.526 3.526 6.881 Å, 90.00 90.00 90.00°
Atoms (fractional coordinates):
Li: 0.000 0.000 0.927
Li: 0.000 0.000 0.573
Sr: 0.500 0.500 0.250
Tc: 0.500 0.500 0.750


11.
DFT (PBE-GGA) results for a relaxed Sr2LiTc crystal.

Properties
- uncorrected energy (eV/atom) = -3.303
- V (Å³ per cell) = 118.4

Cell: 4.940 3.860 6.502 Å, 72.68 90.00 90.00°
Atoms (fractional coordinates):
Li: 0.500 0.571 0.732
Sr: 0.000 0.976 0.923
Sr: 0.500 0.268 0.339
Tc: 0.000 0.685 0.506


12.
DFT (PBE-GGA) results for a relaxed SrLi2Tc crystal.

Properties
- uncorrected energy (eV/atom) = -3.242
- V (Å³ per cell) = 87.8
- E above lowest polymorph (eV per atom) = 0.152

Cell: 4.437 4.437 4.458 Å, 90.00 90.00 90.00°
Atoms (fractional coordinates):
Li: 0.000 0.000 0.000
Li: 0.500 0.500 0.000
Sr: 0.500 0.000 0.500
Tc: 0.000 0.500 0.500